! Y2TcRh (meta-GGA SCAN, single point on PBEsol structure); values from VASP
&SYSTEM
  ibrav = 0, nat = 4, ntyp = 3
/
ATOMIC_SPECIES
Y 88.91 Y.upf
Tc 98.00 Tc.upf
Rh 102.91 Rh.upf
ATOMIC_POSITIONS angstrom
Y 0.000 0.000 0.000
Y 1.558 1.558 3.153
Tc 0.000 0.000 5.189
Rh 1.558 1.558 6.563
CELL_PARAMETERS angstrom
3.116 0.000 0.000
0.000 3.116 0.000
0.000 0.000 8.607
! - density of states at the Fermi level (states/eV per cell) = 3.8
! - ΔH_f (0 K) (eV per formula unit) = -0.1
! - total magnetic moment (μB per formula unit) = 0.0